Record 1
# Ac2Mg15In2 PBE optimized geometry
data_Ac2Mg15In2
_chemical_formula_sum 'Ac2 Mg15 In2'
_space_group_name_H-M_alt 'P 1'
_space_group_IT_number 1
_space_group_name_Hall 'P 1'
_cell_length_a 7.897
_cell_length_b 7.897
_cell_length_c 7.897
_cell_angle_alpha 82.91
_cell_angle_beta 82.91
_cell_angle_gamma 82.91
loop_
_atom_site_label
_atom_site_type_symbol
_atom_site_fract_x
_atom_site_fract_y
_atom_site_fract_z
_atom_site_occupancy
Ac1 Ac 0.170 0.170 0.170 1
Ac2 Ac 0.830 0.830 0.830 1
Mg1 Mg 0.000 0.500 0.500 1
Mg2 Mg 0.151 0.151 0.662 1
Mg3 Mg 0.151 0.662 0.151 1
Mg4 Mg 0.198 0.500 0.802 1
Mg5 Mg 0.198 0.802 0.500 1
Mg6 Mg 0.338 0.849 0.849 1
Mg7 Mg 0.500 0.000 0.500 1
Mg8 Mg 0.500 0.198 0.802 1
Mg9 Mg 0.500 0.500 0.000 1
Mg10 Mg 0.500 0.802 0.198 1
Mg11 Mg 0.662 0.151 0.151 1
Mg12 Mg 0.802 0.198 0.500 1
Mg13 Mg 0.802 0.500 0.198 1
Mg14 Mg 0.849 0.338 0.849 1
Mg15 Mg 0.849 0.849 0.338 1
In1 In 0.401 0.401 0.401 1
In2 In 0.599 0.599 0.599 1
# theoretical density = 3.6 g/cm³
# formation enthalpy at 0 K = -222 kJ/mol of formula units

=====

Record 2
# Co2AgAu PBE optimized geometry
data_Co2AgAu
_chemical_formula_sum 'Co2 Ag1 Au1'
_space_group_name_H-M_alt 'P 1'
_space_group_IT_number 1
_space_group_name_Hall 'P 1'
_cell_length_a 5.102
_cell_length_b 5.102
_cell_length_c 5.102
_cell_angle_alpha 145.23
_cell_angle_beta 128.38
_cell_angle_gamma 63.74
loop_
_atom_site_label
_atom_site_type_symbol
_atom_site_fract_x
_atom_site_fract_y
_atom_site_fract_z
_atom_site_occupancy
Co1 Co 0.000 0.000 0.000 1
Co2 Co 0.804 0.304 0.500 1
Ag1 Ag 0.540 0.540 0.000 1
Au1 Au 0.261 0.761 0.500 1
# theoretical density = 12.0 g/cm³
# formation enthalpy at 0 K = 116 kJ/mol of formula units

=====

Record 3
# TaCoRe2 PBE optimized geometry
data_TaCoRe2
_chemical_formula_sum 'Ta1 Co1 Re2'
_space_group_name_H-M_alt 'P 1'
_space_group_IT_number 1
_space_group_name_Hall 'P 1'
_cell_length_a 3.162
_cell_length_b 3.162
_cell_length_c 5.896
_cell_angle_alpha 90.00
_cell_angle_beta 90.00
_cell_angle_gamma 90.00
loop_
_atom_site_label
_atom_site_type_symbol
_atom_site_fract_x
_atom_site_fract_y
_atom_site_fract_z
_atom_site_occupancy
Ta1 Ta 0.000 0.000 0.000 1
Co1 Co 0.500 0.500 0.205 1
Re1 Re 0.000 0.000 0.470 1
Re2 Re 0.500 0.500 0.711 1
# energy above the most stable polymorph in this dataset = 38 meV per atom
# theoretical density = 17.2 g/cm³
# formation enthalpy at 0 K = 4 kJ/mol of formula units

=====

Record 4
# Sm8TcHg2 PBE optimized geometry
data_Sm8TcHg2
_chemical_formula_sum 'Sm8 Tc1 Hg2'
_space_group_name_H-M_alt 'P 1'
_space_group_IT_number 1
_space_group_name_Hall 'P 1'
_cell_length_a 9.299
_cell_length_b 9.299
_cell_length_c 7.058
_cell_angle_alpha 107.58
_cell_angle_beta 107.58
_cell_angle_gamma 33.86
loop_
_atom_site_label
_atom_site_type_symbol
_atom_site_fract_x
_atom_site_fract_y
_atom_site_fract_z
_atom_site_occupancy
Sm1 Sm 0.022 0.022 0.287 1
Sm2 Sm 0.197 0.197 0.789 1
Sm3 Sm 0.346 0.346 0.546 1
Sm4 Sm 0.409 0.409 0.073 1
Sm5 Sm 0.591 0.591 0.927 1
Sm6 Sm 0.654 0.654 0.454 1
Sm7 Sm 0.803 0.803 0.211 1
Sm8 Sm 0.978 0.978 0.713 1
Tc1 Tc 0.500 0.500 0.500 1
Hg1 Hg 0.184 0.184 0.209 1
Hg2 Hg 0.816 0.816 0.791 1
# energy above the most stable polymorph in this dataset = 0 meV per atom
# theoretical density = 8.8 g/cm³
# formation enthalpy at 0 K = -166 kJ/mol of formula units

=====

Record 5
# Tm2Ni9Pt PBE optimized geometry
data_Tm2Ni9Pt
_chemical_formula_sum 'Tm2 Ni9 Pt1'
_space_group_name_H-M_alt 'P 1'
_space_group_IT_number 1
_space_group_name_Hall 'P 1'
_cell_length_a 8.388
_cell_length_b 8.388
_cell_length_c 8.388
_cell_angle_alpha 33.82
_cell_angle_beta 33.82
_cell_angle_gamma 33.82
loop_
_atom_site_label
_atom_site_type_symbol
_atom_site_fract_x
_atom_site_fract_y
_atom_site_fract_z
_atom_site_occupancy
Tm1 Tm 0.133 0.133 0.133 1
Tm2 Tm 0.867 0.867 0.867 1
Ni1 Ni 0.080 0.583 0.583 1
Ni2 Ni 0.333 0.333 0.333 1
Ni3 Ni 0.417 0.417 0.920 1
Ni4 Ni 0.417 0.920 0.417 1
Ni5 Ni 0.500 0.500 0.500 1
Ni6 Ni 0.583 0.080 0.583 1
Ni7 Ni 0.583 0.583 0.080 1
Ni8 Ni 0.667 0.667 0.667 1
Ni9 Ni 0.920 0.417 0.417 1
Pt1 Pt 0.000 0.000 0.000 1
# theoretical density = 10.8 g/cm³
# formation enthalpy at 0 K = -270 kJ/mol of formula units

=====

Record 6
# TbTmGa PBE optimized geometry
data_TbTmGa
_chemical_formula_sum 'Tb2 Tm2 Ga2'
_space_group_name_H-M_alt 'P 1'
_space_group_IT_number 1
_space_group_name_Hall 'P 1'
_cell_length_a 3.562
_cell_length_b 3.562
_cell_length_c 14.752
_cell_angle_alpha 90.00
_cell_angle_beta 90.00
_cell_angle_gamma 120.00
loop_
_atom_site_label
_atom_site_type_symbol
_atom_site_fract_x
_atom_site_fract_y
_atom_site_fract_z
_atom_site_occupancy
Tb1 Tb 0.333 0.667 0.402 1
Tb2 Tb 0.667 0.333 0.598 1
Tm1 Tm 0.333 0.667 0.793 1
Tm2 Tm 0.667 0.333 0.207 1
Ga1 Ga 0.333 0.667 0.058 1
Ga2 Ga 0.667 0.333 0.942 1
# energy above the most stable polymorph in this dataset = 263 meV per atom
# theoretical density = 8.1 g/cm³
# formation enthalpy at 0 K = -39 kJ/mol of formula units

=====

Record 7
# CoTc2Cl8 PBE optimized geometry
data_CoTc2Cl8
_chemical_formula_sum 'Co1 Tc2 Cl8'
_space_group_name_H-M_alt 'P 1'
_space_group_IT_number 1
_space_group_name_Hall 'P 1'
_cell_length_a 7.666
_cell_length_b 7.666
_cell_length_c 6.145
_cell_angle_alpha 95.39
_cell_angle_beta 95.39
_cell_angle_gamma 72.69
loop_
_atom_site_label
_atom_site_type_symbol
_atom_site_fract_x
_atom_site_fract_y
_atom_site_fract_z
_atom_site_occupancy
Co1 Co 0.000 0.000 0.000 1
Tc1 Tc 0.186 0.186 0.631 1
Tc2 Tc 0.814 0.814 0.369 1
Cl1 Cl 0.088 0.731 0.214 1
Cl2 Cl 0.162 0.162 0.263 1
Cl3 Cl 0.269 0.912 0.786 1
Cl4 Cl 0.364 0.364 0.737 1
Cl5 Cl 0.636 0.636 0.263 1
Cl6 Cl 0.731 0.088 0.214 1
Cl7 Cl 0.838 0.838 0.737 1
Cl8 Cl 0.912 0.269 0.786 1
# E_form (uncorrected) = -325.3 meV/atom
# theoretical density = 2.6 g/cm³

=====

Record 8
# Dy2Er5Zr PBE optimized geometry
data_Dy2Er5Zr
_chemical_formula_sum 'Dy4 Er10 Zr2'
_space_group_name_H-M_alt 'P 1'
_space_group_IT_number 1
_space_group_name_Hall 'P 1'
_cell_length_a 6.454
_cell_length_b 6.454
_cell_length_c 15.214
_cell_angle_alpha 90.00
_cell_angle_beta 90.00
_cell_angle_gamma 130.07
loop_
_atom_site_label
_atom_site_type_symbol
_atom_site_fract_x
_atom_site_fract_y
_atom_site_fract_z
_atom_site_occupancy
Dy1 Dy 0.221 0.779 0.634 1
Dy2 Dy 0.221 0.779 0.866 1
Dy3 Dy 0.779 0.221 0.134 1
Dy4 Dy 0.779 0.221 0.366 1
Er1 Er 0.080 0.920 0.099 1
Er2 Er 0.080 0.920 0.401 1
Er3 Er 0.379 0.621 0.052 1
Er4 Er 0.379 0.621 0.448 1
Er5 Er 0.464 0.536 0.750 1
Er6 Er 0.536 0.464 0.250 1
Er7 Er 0.621 0.379 0.552 1
Er8 Er 0.621 0.379 0.948 1
Er9 Er 0.920 0.080 0.599 1
Er10 Er 0.920 0.080 0.901 1
Zr1 Zr 0.271 0.729 0.250 1
Zr2 Zr 0.729 0.271 0.750 1
# theoretical density = 8.6 g/cm³
# formation enthalpy at 0 K = 104 kJ/mol of formula units

=====

Record 9
# TbMgB14 PBE optimized geometry
data_TbMgB14
_chemical_formula_sum 'Tb2 Mg2 B28'
_space_group_name_H-M_alt 'P 1'
_space_group_IT_number 1
_space_group_name_Hall 'P 1'
_cell_length_a 7.369
_cell_length_b 7.369
_cell_length_c 7.369
_cell_angle_alpha 132.53
_cell_angle_beta 87.33
_cell_angle_gamma 111.75
loop_
_atom_site_label
_atom_site_type_symbol
_atom_site_fract_x
_atom_site_fract_y
_atom_site_fract_z
_atom_site_occupancy
Tb1 Tb 0.391 0.141 0.250 1
Tb2 Tb 0.609 0.859 0.750 1
Mg1 Mg 0.000 0.000 0.500 1
Mg2 Mg 0.000 0.500 0.000 1
B1 B 0.010 0.875 0.135 1
B2 B 0.030 0.206 0.329 1
B3 B 0.030 0.702 0.825 1
B4 B 0.086 0.670 0.416 1
B5 B 0.197 0.530 0.667 1
B6 B 0.222 0.501 0.401 1
B7 B 0.222 0.821 0.721 1
B8 B 0.240 0.875 0.365 1
B9 B 0.246 0.330 0.916 1
B10 B 0.364 0.530 0.833 1
B11 B 0.377 0.206 0.675 1
B12 B 0.377 0.702 0.171 1
B13 B 0.400 0.179 0.901 1
B14 B 0.400 0.499 0.221 1
B15 B 0.600 0.501 0.779 1
B16 B 0.600 0.821 0.099 1
B17 B 0.623 0.298 0.829 1
B18 B 0.623 0.794 0.325 1
B19 B 0.636 0.470 0.167 1
B20 B 0.754 0.670 0.084 1
B21 B 0.760 0.125 0.635 1
B22 B 0.778 0.179 0.279 1
B23 B 0.778 0.499 0.599 1
B24 B 0.803 0.470 0.333 1
B25 B 0.914 0.330 0.584 1
B26 B 0.970 0.298 0.175 1
B27 B 0.970 0.794 0.671 1
B28 B 0.990 0.125 0.865 1
# theoretical density = 4.3 g/cm³
# formation enthalpy at 0 K = -340 kJ/mol of formula units

=====

Record 10
# TiInSb3 PBE optimized geometry
data_TiInSb3
_chemical_formula_sum 'Ti1 In1 Sb3'
_space_group_name_H-M_alt 'P 1'
_space_group_IT_number 1
_space_group_name_Hall 'P 1'
_cell_length_a 5.489
_cell_length_b 5.489
_cell_length_c 5.489
_cell_angle_alpha 90.00
_cell_angle_beta 90.00
_cell_angle_gamma 90.00
loop_
_atom_site_label
_atom_site_type_symbol
_atom_site_fract_x
_atom_site_fract_y
_atom_site_fract_z
_atom_site_occupancy
Ti1 Ti 0.000 0.000 0.000 1
In1 In 0.500 0.500 0.500 1
Sb1 Sb 0.000 0.500 0.500 1
Sb2 Sb 0.500 0.000 0.500 1
Sb3 Sb 0.500 0.500 0.000 1
# E_form (uncorrected) = 1131.3 meV/atom
# energy above the most stable polymorph in this dataset = 1038 meV per atom
# theoretical density = 5.3 g/cm³

=====

Record 11
# La2SiPd6Au PBE optimized geometry
data_La2SiPd6Au
_chemical_formula_sum 'La4 Si2 Pd12 Au2'
_space_group_name_H-M_alt 'P 1'
_space_group_IT_number 1
_space_group_name_Hall 'P 1'
_cell_length_a 5.520
_cell_length_b 8.857
_cell_length_c 8.548
_cell_angle_alpha 90.00
_cell_angle_beta 90.00
_cell_angle_gamma 90.00
loop_
_atom_site_label
_atom_site_type_symbol
_atom_site_fract_x
_atom_site_fract_y
_atom_site_fract_z
_atom_site_occupancy
La1 La 0.250 0.013 0.232 1
La2 La 0.250 0.487 0.232 1
La3 La 0.750 0.513 0.768 1
La4 La 0.750 0.987 0.768 1
Si1 Si 0.250 0.250 0.722 1
Si2 Si 0.750 0.750 0.278 1
Pd1 Pd 0.002 0.750 0.057 1
Pd2 Pd 0.005 0.750 0.504 1
Pd3 Pd 0.250 0.001 0.598 1
Pd4 Pd 0.250 0.499 0.598 1
Pd5 Pd 0.495 0.750 0.504 1
Pd6 Pd 0.498 0.750 0.057 1
Pd7 Pd 0.502 0.250 0.943 1
Pd8 Pd 0.505 0.250 0.496 1
Pd9 Pd 0.750 0.501 0.402 1
Pd10 Pd 0.750 0.999 0.402 1
Pd11 Pd 0.995 0.250 0.496 1
Pd12 Pd 0.998 0.250 0.943 1
Au1 Au 0.250 0.750 0.789 1
Au2 Au 0.750 0.250 0.211 1
# E_form (uncorrected) = -723.4 meV/atom
# theoretical density = 9.1 g/cm³

=====

Record 12
# ErPuZnSn PBE optimized geometry
data_ErPuZnSn
_chemical_formula_sum 'Er1 Pu1 Zn1 Sn1'
_space_group_name_H-M_alt 'P 1'
_space_group_IT_number 1
_space_group_name_Hall 'P 1'
_cell_length_a 5.197
_cell_length_b 5.197
_cell_length_c 5.197
_cell_angle_alpha 60.00
_cell_angle_beta 60.00
_cell_angle_gamma 60.00
loop_
_atom_site_label
_atom_site_type_symbol
_atom_site_fract_x
_atom_site_fract_y
_atom_site_fract_z
_atom_site_occupancy
Er1 Er 0.000 0.000 0.000 1
Pu1 Pu 0.500 0.500 0.500 1
Zn1 Zn 0.250 0.250 0.250 1
Sn1 Sn 0.750 0.750 0.750 1
# theoretical density = 10.0 g/cm³
# formation enthalpy at 0 K = -126 kJ/mol of formula units

=====

Repeat the eighth record exactly.
# Dy2Er5Zr PBE optimized geometry
data_Dy2Er5Zr
_chemical_formula_sum 'Dy4 Er10 Zr2'
_space_group_name_H-M_alt 'P 1'
_space_group_IT_number 1
_space_group_name_Hall 'P 1'
_cell_length_a 6.454
_cell_length_b 6.454
_cell_length_c 15.214
_cell_angle_alpha 90.00
_cell_angle_beta 90.00
_cell_angle_gamma 130.07
loop_
_atom_site_label
_atom_site_type_symbol
_atom_site_fract_x
_atom_site_fract_y
_atom_site_fract_z
_atom_site_occupancy
Dy1 Dy 0.221 0.779 0.634 1
Dy2 Dy 0.221 0.779 0.866 1
Dy3 Dy 0.779 0.221 0.134 1
Dy4 Dy 0.779 0.221 0.366 1
Er1 Er 0.080 0.920 0.099 1
Er2 Er 0.080 0.920 0.401 1
Er3 Er 0.379 0.621 0.052 1
Er4 Er 0.379 0.621 0.448 1
Er5 Er 0.464 0.536 0.750 1
Er6 Er 0.536 0.464 0.250 1
Er7 Er 0.621 0.379 0.552 1
Er8 Er 0.621 0.379 0.948 1
Er9 Er 0.920 0.080 0.599 1
Er10 Er 0.920 0.080 0.901 1
Zr1 Zr 0.271 0.729 0.250 1
Zr2 Zr 0.729 0.271 0.750 1
# theoretical density = 8.6 g/cm³
# formation enthalpy at 0 K = 104 kJ/mol of formula units